Entry 1:
{"formula": "LiTb3Dy4S8", "functional": "PBE-GGA", "state": "optimized geometry", "cell": [[-5.010, 5.819, -1.385], [-5.185, -5.125, -2.775], [2.992, -0.955, 7.143]], "species": ["Li", "Tb", "Tb", "Tb", "Dy", "Dy", "Dy", "Dy", "S", "S", "S", "S", "S", "S", "S", "S"], "frac_coords": [[0.000, 0.500, 0.000], [0.500, 0.500, 0.000], [0.500, 0.500, 0.500], [0.000, 0.500, 0.500], [0.500, 0.000, 0.000], [0.500, 0.000, 0.500], [0.000, 0.000, 0.000], [0.000, 0.000, 0.500], [0.246, 0.747, 0.001], [0.246, 0.747, 0.491], [0.249, 0.248, 0.499], [0.756, 0.747, 0.001], [0.244, 0.253, 0.999], [0.751, 0.752, 0.501], [0.754, 0.253, 0.509], [0.754, 0.253, 0.999]], "raw_formation_energy_ev_per_atom": -1.967, "spacegroup": "R-3m (166)"}


Entry 2:
{"formula": "TcPRh2", "functional": "PBE-GGA", "state": "optimized geometry", "cell": [[-1.968, 1.968, 3.526], [1.968, -1.968, 3.526], [1.968, 1.968, -3.526]], "species": ["Tc", "P", "Rh", "Rh"], "frac_coords": [[0.500, 0.500, 0.000], [0.750, 0.250, 0.500], [0.000, 0.000, 0.000], [0.250, 0.750, 0.500]], "ef_ev_per_atom": -0.081, "spacegroup": "I-4m2 (119)"}


Entry 3:
{"formula": "Sr5AgPd2", "functional": "PBE-GGA", "state": "optimized geometry", "cell": [[-6.241, -0.739, -5.455], [4.683, -5.047, -4.674], [-1.908, -3.214, 8.966]], "species": ["Sr", "Sr", "Sr", "Sr", "Sr", "Sr", "Sr", "Sr", "Sr", "Sr", "Ag", "Ag", "Pd", "Pd", "Pd", "Pd"], "frac_coords": [[0.531, 0.697, 0.728], [0.803, 0.969, 0.272], [0.000, 0.000, 0.000], [0.500, 0.500, 0.000], [0.197, 0.031, 0.728], [0.697, 0.197, 0.728], [0.031, 0.531, 0.728], [0.303, 0.803, 0.272], [0.969, 0.469, 0.272], [0.469, 0.303, 0.272], [0.750, 0.750, 0.500], [0.250, 0.250, 0.500], [0.125, 0.375, 0.000], [0.625, 0.125, 0.000], [0.375, 0.875, 0.000], [0.875, 0.625, 0.000]], "ef_ev_per_atom": -0.440, "spacegroup": "I4/mcm (140)"}


> Number 3 is which compound?

Sr5AgPd2